## AgRh2Se (PBEsol)

Data for a relaxed AgRh2Se crystal.

abc: 2.903 4.429 5.068
angles: 90.00 106.82 90.00
Fractional coordinates of all 4 atoms:
Ag  0.000  0.000  0.000
Rh  0.261  0.000  0.525
Rh  0.635  0.500  0.274
Se  0.346  0.500  0.696

Output
The symmetry is Pm, No. 6. Its uncorrected energy is -5.695 eV/atom. The uncorrected formation energy is 0.16 eV/atom.